[1]
Tb2PmPr4Ho after structural relaxation, computed with GGA-PBE.

Cell: 5.195 5.158 11.436 Å, 63.18 90.00 90.00°
Fractional positions:
Tb: 0.000 0.000 0.000
Tb: 0.500 0.000 0.500
Pm: 0.500 0.500 0.000
Pr: 0.000 0.753 0.748
Pr: 0.000 0.247 0.252
Pr: 0.500 0.747 0.252
Pr: 0.500 0.253 0.748
Ho: 0.000 0.500 0.500

**V**: 34.2 Å³ per atom
**Energy of formation from the pure elements**: 0.0117 eV per atom
**Density of states at the Fermi level**: 1.347 states/eV/atom
**Total magnetization**: 0.00 μB per formula unit
**Symmetry**: Pmmm (47)
**Calculated density**: 7.2 g/cm³

---

[2]
LiSc2As after structural relaxation, computed with GGA-PBE.

Cell: 3.915 3.808 5.496 Å, 69.72 90.00 90.00°
Fractional positions:
Sc: 0.000 0.977 0.920
Sc: 0.500 0.270 0.335
As: 0.000 0.698 0.478
Li: 0.500 0.554 0.767

**V**: 19.2 Å³ per atom
**Energy of formation from the pure elements**: -0.6429 eV per atom
**Density of states at the Fermi level**: 1.357 states/eV/atom
**Total magnetization**: 0.26 μB per formula unit
**Symmetry**: Amm2 (38)
**Calculated density**: 3.7 g/cm³

---

[3]
KVHg3 after structural relaxation, computed with GGA-PBE.

Cell: 6.128 6.128 6.128 Å, 90.00 90.00 90.00°
Fractional positions:
K: 0.000 0.000 0.000
Hg: 0.000 0.500 0.000
Hg: 0.000 0.000 0.500
Hg: 0.500 0.000 0.000
V: 0.500 0.500 0.500

**V**: 46.0 Å³ per atom
**Energy of formation from the pure elements**: 0.9932 eV per atom
**Density of states at the Fermi level**: 1.716 states/eV/atom
**Total magnetization**: 4.31 μB per formula unit
**Distance to the lowest polymorph of the same formula**: 821.0 meV per atom
**Symmetry**: Pm-3m (221)
**Calculated density**: 5.0 g/cm³

---

[4]
LaDyPt2 after structural relaxation, computed with GGA-PBE.

Cell: 4.101 4.101 7.458 Å, 74.04 74.04 60.00°
Fractional positions:
La: 0.497 0.497 0.509
Dy: 0.669 0.669 0.992
Pt: 0.080 0.080 0.761
Pt: 0.254 0.254 0.238

**V**: 25.8 Å³ per atom
**Energy of formation from the pure elements**: -1.0725 eV per atom
**Density of states at the Fermi level**: 0.638 states/eV/atom
**Total magnetization**: 0.00 μB per formula unit
**Distance to the lowest polymorph of the same formula**: 155.4 meV per atom
**Symmetry**: R3m (160)
**Calculated density**: 11.1 g/cm³

---

[5]
Al2CuMoAu after structural relaxation, computed with GGA-PBE.

Cell: 4.417 4.681 4.417 Å, 90.00 90.00 90.00°
Fractional positions:
Mo: 0.500 0.500 0.500
Au: 0.000 0.500 0.000
Al: 0.000 0.000 0.500
Al: 0.500 0.000 0.000
Cu: 0.000 0.000 0.000

**V**: 18.3 Å³ per atom
**Energy of formation from the pure elements**: 0.7391 eV per atom
**Density of states at the Fermi level**: 0.620 states/eV/atom
**Total magnetization**: 2.21 μB per formula unit
**Symmetry**: P4/mmm (123)
**Calculated density**: 7.5 g/cm³

---

[6]
K3Pu2VSe6 after structural relaxation, computed with GGA-PBE.

Cell: 7.134 7.134 8.021 Å, 98.56 98.56 120.03°
Fractional positions:
K: 0.170 0.830 0.500
K: 0.830 0.170 0.500
K: 0.500 0.500 0.500
Pu: 0.334 0.666 0.000
Pu: 0.666 0.334 0.000
V: 0.000 0.000 0.000
Se: 0.934 0.621 0.802
Se: 0.754 0.754 0.199
Se: 0.066 0.379 0.198
Se: 0.621 0.934 0.802
Se: 0.246 0.246 0.801
Se: 0.379 0.066 0.198

**V**: 28.1 Å³ per atom
**Density of states at the Fermi level**: 1.876 states/eV/atom
**Total magnetization**: 12.00 μB per formula unit
**Symmetry**: C2/m (12)
**Calculated density**: 5.6 g/cm³
**Formation energy without anion corrections**: -15.13 eV per formula unit

---

[7]
SiNiAg2 after structural relaxation, computed with GGA-PBE.

Cell: 4.391 4.391 4.391 Å, 60.00 60.00 60.00°
Fractional positions:
Ag: 0.000 0.000 0.000
Ag: 0.750 0.750 0.750
Ni: 0.500 0.500 0.500
Si: 0.250 0.250 0.250

**V**: 15.0 Å³ per atom
**Density of states at the Fermi level**: 0.605 states/eV/atom
**Total magnetization**: 0.00 μB per formula unit
**Symmetry**: F-43m (216)
**Calculated density**: 8.4 g/cm³
**Formation energy without anion corrections**: 0.77 eV per formula unit

---

[8]
GaSnN2 after structural relaxation, computed with GGA-PBE.

Cell: 6.375 6.375 6.375 Å, 29.21 29.21 29.21°
Fractional positions:
Sn: 0.000 0.000 0.000
Ga: 0.500 0.500 0.500
N: 0.888 0.888 0.888
N: 0.112 0.112 0.112

**V**: 13.6 Å³ per atom
**Density of states at the Fermi level**: 0.541 states/eV/atom
**Total magnetization**: 0.00 μB per formula unit
**Distance to the lowest polymorph of the same formula**: 366.0 meV per atom
**Symmetry**: R-3m (166)
**Calculated density**: 6.6 g/cm³
**Formation energy without anion corrections**: 1.94 eV per formula unit

---

[9]
Pr3Sm3HoZn2 after structural relaxation, computed with GGA-PBE.

Cell: 3.678 9.243 9.243 Å, 120.00 90.00 90.00°
Fractional positions:
Pr: 0.500 0.687 0.000
Pr: 0.500 0.000 0.687
Pr: 0.500 0.313 0.313
Sm: 0.000 0.624 0.624
Sm: 0.000 0.000 0.376
Sm: 0.000 0.376 0.000
Ho: 0.000 0.000 0.000
Zn: 0.500 0.667 0.333
Zn: 0.500 0.333 0.667

**V**: 30.2 Å³ per atom
**Energy of formation from the pure elements**: -0.0151 eV per atom
**Density of states at the Fermi level**: 1.438 states/eV/atom
**Total magnetization**: 0.00 μB per formula unit
**Symmetry**: P-62m (189)
**Calculated density**: 7.1 g/cm³

---

[10]
Ca2HoF6 after structural relaxation, computed with GGA-PBE.

Cell: 5.178 5.178 11.204 Å, 90.00 90.00 90.00°
Fractional positions:
Ca: 0.000 0.000 0.337
Ca: 0.500 0.500 0.837
Ca: 0.500 0.500 0.163
Ca: 0.000 0.000 0.663
Ho: 0.000 0.000 0.000
Ho: 0.500 0.500 0.500
F: 0.318 0.318 0.331
F: 0.682 0.682 0.331
F: 0.182 0.818 0.831
F: 0.818 0.182 0.831
F: 0.182 0.818 0.169
F: 0.818 0.182 0.169
F: 0.318 0.318 0.669
F: 0.682 0.682 0.669
F: 0.300 0.300 0.000
F: 0.700 0.700 0.000
F: 0.200 0.800 0.500
F: 0.800 0.200 0.500

**V**: 16.7 Å³ per atom
**Density of states at the Fermi level**: 0.183 states/eV/atom
**Total magnetization**: 0.47 μB per formula unit
**Symmetry**: P4_2/mnm (136)
**Calculated density**: 4.0 g/cm³
**Formation energy without anion corrections**: -33.22 eV per formula unit

---

[11]
BaGa2Pd after structural relaxation, computed with GGA-PBE.

Cell: 4.387 4.387 6.516 Å, 70.33 70.33 60.00°
Fractional positions:
Ga: 0.798 0.798 0.605
Ga: 0.202 0.202 0.395
Ba: 0.000 0.000 0.000
Pd: 0.500 0.500 0.500

**V**: 25.0 Å³ per atom
**Energy of formation from the pure elements**: -0.5683 eV per atom
**Density of states at the Fermi level**: 1.017 states/eV/atom
**Total magnetization**: 0.00 μB per formula unit
**Symmetry**: R-3m (166)
**Calculated density**: 6.4 g/cm³

---

[12]
Nd3Al7Rh4 after structural relaxation, computed with GGA-PBE.

Cell: 4.300 8.102 8.471 Å, 70.87 75.30 74.61°
Fractional positions:
Nd: 0.308 0.187 0.197
Nd: 0.692 0.813 0.803
Nd: 0.000 0.500 0.500
Al: 0.316 0.846 0.523
Al: 0.495 0.218 0.792
Al: 0.846 0.387 0.921
Al: 0.684 0.154 0.477
Al: 0.154 0.613 0.079
Al: 0.000 0.000 0.000
Al: 0.505 0.782 0.208
Rh: 0.663 0.463 0.212
Rh: 0.337 0.537 0.788
Rh: 0.891 0.884 0.334
Rh: 0.109 0.116 0.666

**V**: 18.9 Å³ per atom
**Energy of formation from the pure elements**: -0.7752 eV per atom
**Density of states at the Fermi level**: 0.560 states/eV/atom
**Total magnetization**: 0.00 μB per formula unit
**Symmetry**: C2/m (12)
**Calculated density**: 6.5 g/cm³